1.
VASP calculation (PBE) on crystalline RbMgAu at its relaxed geometry.

abc: 4.6579 4.6579 8.9039
angles: 90.00 90.00 90.00
Closest atoms and distances in Å follow each position.
Fractional coordinates of all 6 atoms:
1 Au 0.5000 0.0000 0.6727  4 Mg 2.79
2 Rb 0.5000 0.0000 0.1496  4 Au 3.65, 4 Mg 3.89
3 Mg 0.5000 0.5000 0.5000  4 Au 2.79
4 Mg 0.0000 0.0000 0.5000  4 Au 2.79
5 Au 0.0000 0.5000 0.3273  4 Mg 2.79
6 Rb 0.0000 0.5000 0.8504  4 Au 3.65, 4 Mg 3.89

Properties
- Calculated density: 5.3 g cm⁻³
- Polymorph energy (0 for the lowest one): 0 meV/atom
- E: -2.271 eV per atom
- DFT formation energy: -325 meV per atom
- Symmetry: P4/nmm

---

2.
VASP calculation (PBE) on crystalline Rb2Tm2PtO6 at its relaxed geometry.

abc: 5.7265 5.7265 6.8756
angles: 97.51 97.51 119.59
Closest atoms and distances in Å follow each position.
Fractional coordinates of all 11 atoms:
1 O 0.9509 0.6336 0.3356  1 Pt 2.11, 2 Tm 2.25-2.26
2 O 0.3664 0.0491 0.6644  1 Pt 2.11, 2 Tm 2.25-2.26
3 Rb 0.8358 0.1642 0.0000  6 O 2.86-3.04
4 Rb 0.1642 0.8358 0.0000  6 O 2.86-3.04
5 O 0.6336 0.9509 0.3356  1 Pt 2.11, 2 Tm 2.25-2.26
6 O 0.0491 0.3664 0.6644  1 Pt 2.11, 2 Tm 2.25-2.26
7 O 0.2596 0.2596 0.3340  1 Pt 2.10, 2 Tm 2.25
8 Pt 0.0000 0.0000 0.5000  6 O 2.10-2.11
9 Tm 0.6651 0.3349 0.5000  6 O 2.25-2.26
10 Tm 0.3349 0.6651 0.5000  6 O 2.25-2.26
11 O 0.7404 0.7404 0.6660  1 Pt 2.10, 2 Tm 2.25

Properties
- Calculated density: 7.0 g cm⁻³
- E: -6.417 eV per atom
- Symmetry: C2/m
- Energy relative to the elements, uncorrected: -23.92 eV per formula unit

---

3.
VASP calculation (PBE) on crystalline PuSiSn at its relaxed geometry.

abc: 3.6169 4.9146 7.1377
angles: 69.86 90.00 90.00
Closest atoms and distances in Å follow each position.
Fractional coordinates of all 6 atoms:
1 Si 0.2500 0.5636 0.8728  2 Si 2.49
2 Pu 0.7500 0.0563 0.8873  2 Pu 2.36
3 Pu 0.2500 0.9437 0.1127  2 Pu 2.36
4 Sn 0.2500 0.2612 0.4776  2 Si 2.96, 4 Sn 3.07, 2 Pu 3.29
5 Sn 0.7500 0.7388 0.5224  2 Si 2.96, 4 Sn 3.07, 2 Pu 3.29
6 Si 0.7500 0.4364 0.1272  2 Si 2.49

Properties
- Calculated density: 10.9 g cm⁻³
- Polymorph energy (0 for the lowest one): 80 meV/atom
- E: -7.961 eV per atom
- Symmetry: Cmcm
- Energy relative to the elements, uncorrected: -0.13 eV per formula unit

---

4.
VASP calculation (PBE) on crystalline La3Pm3Cd2 at its relaxed geometry.

abc: 5.4459 6.6132 16.0754
angles: 90.00 90.00 114.31
Closest atoms and distances in Å follow each position.
Fractional coordinates of all 16 atoms:
1 La 0.2766 0.5531 0.7500  1 Pm 3.23, 4 Cd 3.28
2 Cd 0.7659 0.5318 0.8631  4 Pm 3.10-3.39, 3 La 3.28-3.30
3 Pm 0.6423 0.2847 0.0319  3 Cd 3.10-3.39
4 Cd 0.7659 0.5318 0.6369  4 Pm 3.10-3.39, 3 La 3.28-3.30
5 La 0.7234 0.4469 0.2500  1 Pm 3.23, 4 Cd 3.28
6 Pm 0.3577 0.7153 0.5319  3 Cd 3.10-3.39
7 La 0.0372 0.0745 0.6092  1 Cd 3.30, 4 Pm 3.54-3.69, 2 La 3.62-3.67
8 Pm 0.6423 0.2847 0.4681  3 Cd 3.10-3.39
9 Pm 0.3577 0.7153 0.9681  3 Cd 3.10-3.39
10 La 0.0372 0.0745 0.8908  1 Cd 3.30, 4 Pm 3.54-3.69, 2 La 3.62-3.67
11 Pm 0.4550 0.9101 0.2500  2 Cd 3.22, 5 La 3.23-3.54
12 Cd 0.2341 0.4682 0.1369  4 Pm 3.10-3.39, 3 La 3.28-3.30
13 La 0.9628 0.9255 0.1092  1 Cd 3.30, 4 Pm 3.54-3.69, 2 La 3.62-3.67
14 Pm 0.5450 0.0899 0.7500  2 Cd 3.22, 5 La 3.23-3.54
15 Cd 0.2341 0.4682 0.3631  4 Pm 3.10-3.39, 3 La 3.28-3.30
16 La 0.9628 0.9255 0.3908  1 Cd 3.30, 4 Pm 3.54-3.69, 2 La 3.62-3.67

Properties
- Calculated density: 6.8 g cm⁻³
- E: -3.937 eV per atom
- DFT formation energy: -79 meV per atom
- Symmetry: Cmcm

---

5.
VASP calculation (PBE) on crystalline Sm8Si3HgTe4 at its relaxed geometry.

abc: 8.6530 8.8131 8.6531
angles: 119.40 120.00 90.00
Closest atoms and distances in Å follow each position.
Fractional coordinates of all 16 atoms:
1 Hg 0.0000 0.5000 0.0000  6 Sm 3.10
2 Te 0.5000 0.0000 0.5000  6 Sm 3.21-3.22
3 Sm 0.7299 0.7312 0.9805  2 Si 2.97, 3 Te 3.09-3.21, 1 Hg 3.10
4 Si 0.5000 0.5000 0.5000  6 Sm 2.96-2.97
5 Sm 0.7494 0.2688 0.0195  2 Si 2.97, 3 Te 3.09-3.21, 1 Hg 3.10
6 Sm 0.7493 0.2687 0.4986  2 Si 2.97, 3 Te 3.09-3.21, 1 Hg 3.10
7 Te 0.0000 0.0000 0.0000  6 Sm 3.21-3.22
8 Sm 0.7398 0.7193 0.4795  3 Si 2.96, 3 Te 3.22
9 Te 0.0000 0.0000 0.5000  6 Sm 3.21-3.22
10 Si 0.5000 0.5000 0.0000  6 Sm 2.96-2.97
11 Sm 0.2602 0.2807 0.5205  3 Si 2.96, 3 Te 3.22
12 Te 0.5000 0.0000 0.0000  6 Sm 3.09
13 Sm 0.2701 0.2688 0.0195  2 Si 2.97, 3 Te 3.09-3.21, 1 Hg 3.10
14 Sm 0.2506 0.7312 0.9805  2 Si 2.97, 3 Te 3.09-3.21, 1 Hg 3.10
15 Sm 0.2507 0.7313 0.5014  2 Si 2.97, 3 Te 3.09-3.21, 1 Hg 3.10
16 Si 0.0000 0.5000 0.5000  6 Sm 2.96-2.97

Properties
- Calculated density: 7.0 g cm⁻³
- E: -5.227 eV per atom
- Symmetry: R-3m
- Energy relative to the elements, uncorrected: -16.75 eV per formula unit

---

6.
VASP calculation (PBE) on crystalline Ba3Nd3ScSe8 at its relaxed geometry.

abc: 8.5738 8.5739 9.0448
angles: 118.29 90.00 120.00
Closest atoms and distances in Å follow each position.
Fractional coordinates of all 15 atoms:
1 Ba 0.0000 0.5000 0.0000  6 Se 3.24-3.27
2 Se 0.2269 0.9814 0.7083  1 Sc 2.82, 2 Nd 2.99
3 Ba 0.5000 0.5000 0.0000  6 Se 3.24-3.27
4 Nd 0.5000 0.5000 0.5000  6 Se 2.99-3.00
5 Se 0.2455 0.0186 0.2917  1 Sc 2.82, 2 Nd 2.99
6 Se 0.2588 0.5175 0.2762  3 Nd 3.00, 3 Ba 3.24
7 Se 0.7545 0.9814 0.7083  1 Sc 2.82, 2 Nd 2.99
8 Se 0.2269 0.4538 0.7083  1 Sc 2.82, 2 Nd 2.99
9 Ba 0.0000 0.0000 0.0000  6 Se 3.24-3.27
10 Se 0.7731 0.5462 0.2917  1 Sc 2.82, 2 Nd 2.99
11 Se 0.7731 0.0186 0.2917  1 Sc 2.82, 2 Nd 2.99
12 Nd 0.0000 0.5000 0.5000  6 Se 2.99-3.00
13 Nd 0.5000 0.0000 0.5000  6 Se 2.99-3.00
14 Sc 0.0000 0.0000 0.5000  6 Se 2.82
15 Se 0.7412 0.4825 0.7238  3 Nd 3.00, 3 Ba 3.24

Properties
- Calculated density: 5.2 g cm⁻³
- E: -5.514 eV per atom
- Symmetry: R-3m
- Energy relative to the elements, uncorrected: -28.42 eV per formula unit

---

7.
VASP calculation (PBE) on crystalline TaAl2CoRh at its relaxed geometry.

abc: 4.8916 4.3086 4.8916
angles: 90.00 90.00 90.00
Closest atoms and distances in Å follow each position.
Fractional coordinates of all 5 atoms:
1 Co 0.0000 0.5000 0.0000  2 Ta 2.15
2 Ta 0.0000 0.0000 0.0000  2 Co 2.15
3 Al 0.0000 0.0000 0.5000  2 Ta 2.45
4 Rh 0.5000 0.5000 0.5000  8 Al 3.26, 4 Co 3.46
5 Al 0.5000 0.0000 0.0000  2 Ta 2.45

Properties
- Calculated density: 6.4 g cm⁻³
- E: -5.419 eV per atom
- DFT formation energy: 1340 meV per atom
- Symmetry: P4/mmm

---

8.
VASP calculation (PBE) on crystalline CaY3In at its relaxed geometry.

abc: 5.8161 5.8161 5.8161
angles: 90.00 90.00 90.00
Closest atoms and distances in Å follow each position.
Fractional coordinates of all 5 atoms:
1 Ca 0.5000 0.5000 0.5000  12 Y 4.11
2 Y 0.0000 0.0000 0.5000  2 In 2.91
3 Y 0.5000 0.0000 0.0000  2 In 2.91
4 In 0.0000 0.0000 0.0000  6 Y 2.91
5 Y 0.0000 0.5000 0.0000  2 In 2.91

Properties
- Calculated density: 3.6 g cm⁻³
- Polymorph energy (0 for the lowest one): 0 meV/atom
- E: -4.585 eV per atom
- DFT formation energy: 241 meV per atom
- Symmetry: Pm-3m

---

9.
VASP calculation (PBE) on crystalline LaNd3Y5 at its relaxed geometry.

abc: 8.7801 8.7801 10.0379
angles: 115.93 115.93 90.00
Closest atoms and distances in Å follow each position.
Fractional coordinates of all 18 atoms:
1 Nd 0.6178 0.1178 0.0000  1 Nd 2.93, 2 Y 3.06
2 La 0.2500 0.7500 0.5000  4 Y 3.13
3 Y 0.9292 0.4292 0.2719  1 Nd 3.06, 1 La 3.13
4 Nd 0.1178 0.3822 0.0000  1 Nd 2.93, 2 Y 3.06
5 Nd 0.8822 0.6178 0.0000  1 Nd 2.93, 2 Y 3.06
6 Y 0.4292 0.3427 0.2719  1 Nd 3.06, 1 La 3.13
7 Y 0.5708 0.6573 0.7281  1 Nd 3.06, 1 La 3.13
8 Y 0.3427 0.8427 0.2719  1 Nd 3.06, 1 La 3.13
9 Nd 0.3822 0.8822 0.0000  1 Nd 2.93, 2 Y 3.06
10 Y 0.5000 0.5000 0.0000  4 Nd 3.51, 8 Y 3.81
11 Y 0.0708 0.5708 0.7281  1 Nd 3.06, 1 La 3.13
12 Y 0.6573 0.1573 0.7281  1 Nd 3.06, 1 La 3.13
13 Y 0.8427 0.9292 0.2719  1 Nd 3.06, 1 La 3.13
14 Y 0.0000 0.0000 0.0000  4 Nd 3.51, 8 Y 3.81
15 Nd 0.2500 0.2500 0.5000  10 Y 3.63-3.94
16 La 0.7500 0.2500 0.5000  4 Y 3.13
17 Y 0.1573 0.0708 0.7281  1 Nd 3.06, 1 La 3.13
18 Nd 0.7500 0.7500 0.5000  10 Y 3.63-3.94

Properties
- Calculated density: 5.6 g cm⁻³
- Polymorph energy (0 for the lowest one): 0 meV/atom
- E: -5.504 eV per atom
- DFT formation energy: 224 meV per atom
- Symmetry: I4/mcm

---

10.
VASP calculation (PBE) on crystalline OsRu2W at its relaxed geometry.

abc: 4.7318 4.7318 2.7494
angles: 90.00 90.00 108.96
Closest atoms and distances in Å follow each position.
Fractional coordinates of all 4 atoms:
1 Os 0.0000 0.5000 0.5000  8 Ru 2.74, 2 W 2.75, 2 Os 2.75
2 Ru 0.5000 0.5000 0.0000  4 W 2.74, 4 Os 2.74, 4 Ru 2.75
3 W 0.5000 0.0000 0.5000  8 Ru 2.74, 2 Os 2.75, 2 W 2.75
4 Ru 0.0000 0.0000 0.0000  4 Os 2.74, 4 W 2.74, 4 Ru 2.75

Properties
- Calculated density: 16.4 g cm⁻³
- Polymorph energy (0 for the lowest one): 55 meV/atom
- E: -10.643 eV per atom
- DFT formation energy: 41 meV per atom
- Symmetry: Cmmm

---

11.
VASP calculation (PBE) on crystalline Cr2ReCl at its relaxed geometry.

abc: 2.9391 3.0394 7.0626
angles: 89.99 90.00 90.00
Closest atoms and distances in Å follow each position.
Fractional coordinates of all 4 atoms:
1 Re 0.5000 0.2500 0.2500  8 Cr 2.59
2 Cr 0.0000 0.7501 0.0391  2 Cl 2.52, 4 Re 2.59
3 Cl 0.5000 0.7500 0.7500  4 Cr 2.52
4 Cr 0.0000 0.7499 0.4609  2 Cl 2.52, 4 Re 2.59

Properties
- Calculated density: 8.6 g cm⁻³
- Polymorph energy (0 for the lowest one): 0 meV/atom
- E: -8.219 eV per atom
- Symmetry: Pmmm
- Energy relative to the elements, uncorrected: 0.67 eV per formula unit

---

12.
VASP calculation (PBE) on crystalline Pm2Nd9Mg at its relaxed geometry.

abc: 5.1353 5.1353 15.5260
angles: 90.00 90.00 90.00
Closest atoms and distances in Å follow each position.
Fractional coordinates of all 12 atoms:
1 Mg 0.0000 0.0000 0.0000  12 Nd 3.60-3.63
2 Nd 0.0000 0.5000 0.8371  8 Nd 3.60-3.65, 2 Mg 3.60, 2 Pm 3.65
3 Nd 0.0000 0.5000 0.5000  8 Nd 3.63-3.68, 4 Pm 3.68
4 Pm 0.0000 0.0000 0.6701  12 Nd 3.63-3.68
5 Nd 0.5000 0.0000 0.8371  2 Mg 3.60, 8 Nd 3.60-3.65, 2 Pm 3.65
6 Nd 0.5000 0.5000 0.6702  4 Pm 3.63, 8 Nd 3.65-3.68
7 Nd 0.5000 0.5000 0.0000  8 Nd 3.60, 4 Mg 3.63
8 Nd 0.5000 0.0000 0.5000  8 Nd 3.63-3.68, 4 Pm 3.68
9 Nd 0.5000 0.0000 0.1629  2 Mg 3.60, 8 Nd 3.60-3.65, 2 Pm 3.65
10 Nd 0.0000 0.5000 0.1629  8 Nd 3.60-3.65, 2 Mg 3.60, 2 Pm 3.65
11 Pm 0.0000 0.0000 0.3299  12 Nd 3.63-3.68
12 Nd 0.5000 0.5000 0.3298  4 Pm 3.63, 8 Nd 3.65-3.68

Properties
- Calculated density: 6.5 g cm⁻³
- E: -4.489 eV per atom
- DFT formation energy: 11 meV per atom
- Symmetry: P4/mmm